w) Entry from Alexandria: a relaxed structure of ZnCS2Cl (PBE).

Lattice parameters (Å, degrees): 4.6786 4.6786 4.6696 90.00 90.00 90.00
Element x y z (fractional)
C (0.5000, 0.5000, 0.5000)
Zn (0.0000, 0.0000, 0.0000)
S (0.0000, 0.5000, 0.0000)
S (0.5000, 0.0000, 0.0000)
Cl (0.0000, 0.0000, 0.5000)


x) Entry from Alexandria: a relaxed structure of ZnCS2Cl (PBE).

Lattice parameters (Å, degrees): 3.8447 3.8447 7.1828 90.00 90.00 90.00
Element x y z (fractional)
C (0.0000, 0.0000, 0.0000)
Zn (0.5000, 0.5000, 0.5000)
S (0.0000, 0.5000, 0.0000)
S (0.5000, 0.0000, 0.0000)
Cl (0.0000, 0.0000, 0.5000)


x) is preferred energetically. Next in line: 774 meV/atom higher.


w) Entry from Alexandria: a relaxed structure of ZnCSCl2 (PBE).

Lattice parameters (Å, degrees): 4.4580 4.4580 4.1702 90.00 90.00 90.00
Element x y z (fractional)
C (0.0000, 0.0000, 0.0000)
Zn (0.5000, 0.5000, 0.5000)
S (0.0000, 0.0000, 0.5000)
Cl (0.0000, 0.5000, 0.0000)
Cl (0.5000, 0.0000, 0.0000)


x) Entry from Alexandria: a relaxed structure of ZnCSCl2 (PBE).

Lattice parameters (Å, degrees): 4.6601 4.6601 4.9340 90.00 90.00 90.00
Element x y z (fractional)
C (0.5000, 0.5000, 0.5000)
Zn (0.0000, 0.0000, 0.0000)
S (0.0000, 0.0000, 0.5000)
Cl (0.0000, 0.5000, 0.0000)
Cl (0.5000, 0.0000, 0.0000)


w) is preferred energetically. Next in line: 439 meV/atom higher.